[1]
The following is a SCAN calculation of a crystal of YAgI4O12 relaxed with PBEsol, from the Alexandria database.

Results
uncorrected formation energy	-0.92	eV per atom
SG	Cc
size of the total moment	0.000	μB per atom
raw total energy	-16.526	eV per atom
calculated volume	14.703	A^3/atom

a b c (Å): 5.4829 12.3799 15.8370
angles (deg): 90.80 99.97 90.00
Last column: nearest neighbours and their distance in Å.
Positions (direct):
I1 0.3049 0.9638 0.9920  3 O 1.83-1.86
I2 0.6871 0.4638 0.9920  3 O 1.83-1.86
I3 0.9573 0.9685 0.3263  3 O 1.83-1.85
I4 0.8465 0.6242 0.2060  3 O 1.83-1.87
I5 0.3595 0.1242 0.2060  3 O 1.83-1.87
I6 0.0911 0.5305 0.8024  3 O 1.83-1.85
I7 0.1501 0.8061 0.6770  3 O 1.83-1.85
I8 0.5544 0.5762 0.6028  3 O 1.83-1.86
I9 0.9468 0.3840 0.4847  3 O 1.81-1.85
I10 0.1928 0.2592 0.8777  3 O 1.84-1.85
I11 0.7113 0.0305 0.8024  3 O 1.83-1.85
I12 0.6849 0.7592 0.8777  3 O 1.84-1.85
I13 0.0484 0.0762 0.6028  3 O 1.83-1.86
I14 0.5269 0.3061 0.6770  3 O 1.83-1.85
I15 0.3690 0.4685 0.3263  3 O 1.83-1.85
I16 0.5378 0.8839 0.4847  3 O 1.81-1.85
Ag1 0.4231 0.7896 0.2658  5 O 2.29-2.55
Ag2 0.8163 0.8744 0.1225  4 O 2.30-2.53
Ag3 0.3062 0.3744 0.1225  4 O 2.30-2.53
Ag4 0.8427 0.2895 0.2658  5 O 2.29-2.55
O1 0.7370 0.6664 0.5474  1 I 1.83
O2 0.9230 0.5435 0.0662  1 I 1.86
O3 0.2616 0.6094 0.3338  1 I 1.85
O4 0.7873 0.8217 0.4397  1 I 1.81
O5 0.5894 0.1836 0.1488  1 I 1.83
O6 0.5594 0.6836 0.1488  1 I 1.83
O7 0.2851 0.8153 0.4101  1 I 1.85
O8 0.4880 0.2052 0.3038  1 I 1.87
O9 0.1250 0.3153 0.4101  1 I 1.85
O10 0.8435 0.1137 0.7263  1 I 1.84
O11 0.3833 0.3834 0.8838  1 I 1.85
O12 0.3660 0.8430 0.0570  1 I 1.83
O13 0.9272 0.7919 0.9710  1 I 1.85
O14 0.1432 0.0435 0.0662  1 I 1.86
O15 0.1141 0.4219 0.2432  1 I 1.83
O16 0.0538 0.7183 0.1596  1 I 1.87
O17 0.3397 0.2502 0.5774  1 I 1.85
O18 0.6524 0.3217 0.4397  1 I 1.81
O19 0.0438 0.2919 0.9710  1 I 1.85
O20 0.3451 0.4287 0.6847  1 I 1.83
O21 0.8158 0.7052 0.3038  1 I 1.87
O22 0.3609 0.7204 0.7499  1 I 1.84
O23 0.5810 0.4798 0.2491  1 I 1.83
O24 0.8994 0.0911 0.8998  1 I 1.85
O25 0.3395 0.9287 0.6847  1 I 1.83
O26 0.2090 0.0442 0.5111  1 I 1.86
O27 0.8828 0.6137 0.7263  1 I 1.84
O28 0.7290 0.4499 0.5937  1 I 1.85
O29 0.3021 0.5442 0.5111  1 I 1.86
O30 0.8647 0.9499 0.5937  1 I 1.85
O31 0.4991 0.6671 0.9317  1 I 1.84
O32 0.4326 0.1671 0.9317  1 I 1.84
O33 0.3891 0.2204 0.7499  1 I 1.84
O34 0.6224 0.0079 0.0360  1 I 1.84
O35 0.6681 0.9798 0.2491  1 I 1.83
O36 0.6910 0.3430 0.0571  1 I 1.83
O37 0.8644 0.5055 0.4207  1 I 1.84
O38 0.1291 0.9219 0.2432  1 I 1.83
O39 0.8104 0.1664 0.5474  1 I 1.83
O40 0.5005 0.8834 0.8838  1 I 1.85
O41 0.9015 0.4080 0.7966  1 I 1.83
O42 0.4136 0.5079 0.0360  1 I 1.84
O43 0.0004 0.5911 0.8998  1 I 1.85
O44 0.2377 0.7502 0.5774  1 I 1.85
O45 0.0721 0.1094 0.3338  1 I 1.85
O46 0.5562 0.0055 0.4207  1 I 1.84
O47 0.1059 0.2183 0.1596  1 I 1.87
O48 0.8951 0.9080 0.7966  1 I 1.83
Y1 0.2239 0.6695 0.0361  8 O 2.26-2.47
Y2 0.8122 0.1695 0.0361  8 O 2.26-2.48
Y3 0.4146 0.1750 0.4435  8 O 2.24-2.49
Y4 0.0289 0.6750 0.4435  8 O 2.24-2.49

***

[2]
The following is a SCAN calculation of a crystal of AgTe2OsI relaxed with PBEsol, from the Alexandria database.

Results
relative energy among the computed polymorphs	0	meV per atom
uncorrected formation energy	0.79	eV per atom
SG	P4/mmm
size of the total moment	0.000	μB per atom
raw total energy	-42.112	eV per atom
calculated volume	29.170	A^3/atom

a b c (Å): 5.0547 5.0547 5.7083
angles (deg): 90.00 90.00 90.00
Last column: nearest neighbours and their distance in Å.
Positions (direct):
Os1 0.0000 0.0000 0.0000  4 Te 2.53
Te1 0.0000 0.5000 0.0000  2 Os 2.53
Te2 0.5000 0.0000 0.0000  2 Os 2.53
Ag1 0.5000 0.5000 0.5000  4 I 3.57, 8 Te 3.81
I1 0.0000 0.0000 0.5000  2 Os 2.85

***

[3]
The following is a SCAN calculation of a crystal of AgTe2OsI relaxed with PBEsol, from the Alexandria database.

Results
relative energy among the computed polymorphs	934	meV per atom
uncorrected formation energy	1.72	eV per atom
SG	P4/mmm
size of the total moment	0.762	μB per atom
raw total energy	-41.179	eV per atom
calculated volume	29.683	A^3/atom

a b c (Å): 5.2733 5.3051 5.3051
angles (deg): 90.00 90.00 90.00
Last column: nearest neighbours and their distance in Å.
Positions (direct):
I1 0.5000 0.0000 0.0000  2 Ag 2.64
Ag1 0.0000 0.0000 0.0000  2 I 2.64, 4 Te 2.65
Te1 0.0000 0.0000 0.5000  2 Ag 2.65
Te2 0.0000 0.5000 0.0000  2 Ag 2.65
Os1 0.5000 0.5000 0.5000  8 Te 3.74, 4 I 3.75

***

[4]
The following is a SCAN calculation of a crystal of AgPb2SI relaxed with PBEsol, from the Alexandria database.

Results
uncorrected formation energy	0.08	eV per atom
SG	P4/mmm
size of the total moment	0.000	μB per atom
raw total energy	-45.785	eV per atom
calculated volume	29.894	A^3/atom

a b c (Å): 4.6110 5.6935 5.6935
angles (deg): 90.00 90.00 90.00
Last column: nearest neighbours and their distance in Å.
Positions (direct):
Pb1 0.0000 0.5000 0.0000  2 S 2.85
Pb2 0.0000 0.0000 0.5000  2 S 2.85
I1 0.5000 0.5000 0.5000  8 Pb 3.66, 4 Ag 4.03
S1 0.0000 0.0000 0.0000  2 Ag 2.31
Ag1 0.5000 0.0000 0.0000  2 S 2.31

***

[5]
The following is a SCAN calculation of a crystal of TaAgPb2I relaxed with PBEsol, from the Alexandria database.

Results
uncorrected formation energy	1.75	eV per atom
SG	P4/mmm
size of the total moment	0.572	μB per atom
raw total energy	-55.500	eV per atom
calculated volume	34.232	A^3/atom

a b c (Å): 5.0105 5.8446 5.8446
angles (deg): 90.00 90.00 90.00
Last column: nearest neighbours and their distance in Å.
Positions (direct):
I1 0.0000 0.0000 0.0000  2 Ag 2.51
Ag1 0.5000 0.0000 0.0000  2 I 2.51
Pb1 0.0000 0.5000 0.0000  2 I 2.92
Pb2 0.0000 0.0000 0.5000  2 I 2.92
Ta1 0.5000 0.5000 0.5000  8 Pb 3.85, 4 Ag 4.13

***

[6]
The following is a SCAN calculation of a crystal of AgTePbI2 relaxed with PBEsol, from the Alexandria database.

Results
uncorrected formation energy	0.09	eV per atom
SG	P4/mmm
size of the total moment	0.000	μB per atom
raw total energy	-43.491	eV per atom
calculated volume	32.905	A^3/atom

a b c (Å): 5.4514 5.4514 5.5361
angles (deg): 90.00 90.00 90.00
Last column: nearest neighbours and their distance in Å.
Positions (direct):
Te1 0.0000 0.0000 0.5000  2 Ag 2.77
I1 0.0000 0.5000 0.0000  2 Ag 2.73
I2 0.5000 0.0000 0.0000  2 Ag 2.73
Ag1 0.0000 0.0000 0.0000  4 I 2.73, 2 Te 2.77
Pb1 0.5000 0.5000 0.5000  4 Te 3.85, 8 I 3.88